Record 1
5
Lattice="4.093 0.000 0.000 0.000 4.093 0.000 0.000 0.000 4.093" Properties=species:S:1:pos:R:3 comment="Co3PtCl (GGA-PBE, relaxed)" e_form_raw_mev_per_atom=699 n_ef_per_ev_atom=1.49 de_polymorph_mev_per_atom=0 pbc="T T T"
Co 0.000 2.046 0.000
Co 0.000 0.000 2.046
Co 2.046 0.000 0.000
Pt 2.046 2.046 2.046
Cl 0.000 0.000 0.000

=====

Record 2
4
Lattice="4.488 -0.004 0.231 3.610 2.667 0.231 3.646 1.199 6.113" Properties=species:S:1:pos:R:3 comment="Co2PtCl (GGA-PBE, relaxed)" e_form_raw_mev_per_atom=201 n_ef_per_ev_atom=1.21 de_polymorph_mev_per_atom=66 pbc="T T T"
Co 11.012 3.622 6.032
Co 6.604 2.172 3.832
Pt 8.808 2.897 4.932
Cl 2.936 0.966 1.644